1.
Below is a geometry-optimized LaPr2Pu structure, with properties calculated at the PBE-GGA level.

Cell lengths 3.654, 3.654, 12.084 Å; angles 81.44, 81.44, 60.11 degrees
Fractional positions:
1 La 0.501 0.501 0.500
2 Pr 0.252 0.252 0.239
3 Pr 0.078 0.078 0.761
4 Pu 0.669 0.669 0.000

Properties
space group = Cm (8)
energy of formation = 137 meV per atom
energy relative to the lowest polymorph listed for this composition = 12.5 meV/atom

2.
Below is a geometry-optimized YAl2Cu structure, with properties calculated at the PBE-GGA level.

Cell lengths 4.199, 3.266, 5.816 Å; angles 73.83, 90.00, 90.00 degrees
Fractional positions:
1 Cu 0.000 0.326 0.474
2 Y 0.500 0.706 0.714
3 Al 0.500 0.441 0.242
4 Al 0.000 0.028 0.069

Properties
space group = Pm (6)
energy of formation = -208 meV per atom

3.
Below is a geometry-optimized Tb2Pr2Dy structure, with properties calculated at the PBE-GGA level.

Cell lengths 6.372, 8.611, 9.702 Å; angles 43.54, 70.83, 68.28 degrees
Fractional positions:
1 Pr 0.613 0.254 0.349
2 Pr 0.387 0.746 0.651
3 Pr 0.785 0.754 0.849
4 Dy 0.416 0.250 0.750
5 Tb 0.014 0.257 0.549
6 Tb 0.986 0.743 0.451
7 Pr 0.215 0.246 0.151
8 Tb 0.820 0.243 0.951
9 Tb 0.180 0.757 0.049
10 Dy 0.584 0.750 0.250

Properties
space group = C2/c (15)
energy of formation = 25 meV per atom
energy relative to the lowest polymorph listed for this composition = 0.0 meV/atom